# PBE with a Hubbard U RbPrCrO4, relaxed
data_RbPrCrO4
_chemical_formula_sum 'Rb2 Pr2 Cr2 O8'
_cell_length_a 6.043
_cell_length_b 5.988
_cell_length_c 7.765
_cell_angle_alpha 90.00
_cell_angle_beta 107.27
_cell_angle_gamma 90.00
_space_group_name_H-M_alt 'P 1 21/m 1'
_space_group_IT_number 11
loop_
_space_group_symop_operation_xyz
'x,y,z'
'-x,-y,-z'
'-x,y+1/2,-z'
'x,-y+1/2,z'
loop_
_atom_site_label
_atom_site_fract_x
_atom_site_fract_y
_atom_site_fract_z
Rb1 0.192 0.250 0.427
Pr1 0.294 0.250 0.955
Cr1 0.247 0.750 0.168
O1 0.058 0.750 0.304
O2 0.058 0.750 0.944
O3 0.455 0.523 0.181
# * E: -0.25523 Ha/atom